No. 1
The following is a PBE calculation of a relaxed Pa2GaRh8 crystal, from Alexandria.

## Properties
The density comes out at 12.302 g cm⁻³. For the calculated formation energy, the calculation gives -0.5827 eV per atom. The calculation puts the spin magnetization at 0.000 μB per formula unit.

Cell: 4.509 5.963 7.762 Å, 112.60 106.89 90.00°
Fractional coordinates of all 11 atoms:
Rh 0.363 0.129 0.727
Rh 0.363 0.598 0.727
Ga 0.500 0.000 0.000
Rh 0.637 0.402 0.273
Pa 0.817 0.317 0.634
Rh 0.637 0.871 0.273
Rh 0.000 0.260 0.000
Rh 0.179 0.179 0.358
Pa 0.183 0.683 0.366
Rh 0.821 0.821 0.642
Rh 0.000 0.740 0.000

No. 2
The following is a PBE calculation of a relaxed PmPr8In6 crystal, from Alexandria.

## Properties
The density comes out at 6.470 g cm⁻³. For the calculated formation energy, the calculation gives -0.2509 eV per atom. The calculation puts the spin magnetization at 0.000 μB per formula unit.

Cell: 9.319 9.319 8.588 Å, 57.14 57.14 60.00°
Fractional coordinates of all 15 atoms:
In 0.616 0.947 0.160
Pr 0.782 0.116 0.651
Pr 0.451 0.782 0.651
Pr 0.549 0.218 0.349
Pr 0.884 0.549 0.349
Pr 0.218 0.884 0.349
In 0.053 0.723 0.840
In 0.277 0.616 0.160
In 0.384 0.053 0.840
Pm 0.000 0.000 0.000
Pr 0.116 0.451 0.651
In 0.723 0.384 0.840
Pr 0.334 0.334 0.999
Pr 0.666 0.666 0.001
In 0.947 0.277 0.160

No. 3
The following is a PBE calculation of a relaxed PuPaTcRh crystal, from Alexandria.

## Properties
The density comes out at 14.025 g cm⁻³. For the calculated formation energy, the calculation gives -0.2868 eV per atom. The calculation puts the spin magnetization at 4.943 μB per formula unit.

Cell: 4.837 4.837 4.837 Å, 60.00 60.00 60.00°
Site moments in Bohr magnetons follow the coordinates.
Fractional coordinates of all 4 atoms:
Tc 0.250 0.250 0.250  -0.47
Rh 0.750 0.750 0.750  -0.21
Pa 0.500 0.500 0.500  0.38
Pu 0.000 0.000 0.000  4.95

No. 4
The following is a PBE calculation of a relaxed ThZrCd crystal, from Alexandria.

## Properties
Its energy above the most stable polymorph in this dataset is 0.77 eV/f.u. The density comes out at 8.907 g cm⁻³. For the calculated formation energy, the calculation gives 0.2237 eV per atom. The calculation puts the spin magnetization at 0.000 μB per formula unit.

Cell: 3.269 5.595 8.880 Å, 90.00 90.00 90.00°
Fractional coordinates of all 6 atoms:
Zr 0.500 0.000 0.750
Th 0.500 0.500 0.924
Th 0.000 0.000 0.076
Cd 0.500 0.500 0.554
Cd 0.000 0.000 0.446
Zr 0.000 0.500 0.250

No. 5
The following is a PBE calculation of a relaxed Mg2Ag5Hg2 crystal, from Alexandria.

## Properties
Its energy above the most stable polymorph in this dataset is 0.11 eV/f.u. The density comes out at 9.146 g cm⁻³. For the calculated formation energy, the calculation gives -0.0272 eV per atom. The calculation puts the spin magnetization at 0.000 μB per formula unit.

Cell: 7.970 5.354 9.689 Å, 106.04 114.29 90.00°
Fractional coordinates of all 18 atoms:
Ag 0.206 0.121 0.330
Ag 0.113 0.198 0.817
Mg 0.210 0.545 0.153
Ag 0.375 0.291 0.670
Mg 0.443 0.045 0.153
Ag 0.591 0.156 0.500
Ag 0.796 0.881 0.183
Hg 0.500 0.436 0.000
Hg 0.000 0.936 0.000
Ag 0.625 0.621 0.330
Ag 0.204 0.698 0.817
Ag 0.794 0.791 0.670
Mg 0.790 0.392 0.847
Ag 0.409 0.656 0.500
Mg 0.557 0.892 0.847
Hg 0.076 0.818 0.500
Hg 0.924 0.318 0.500
Ag 0.887 0.381 0.183

No. 6
The following is a PBE calculation of a relaxed SmZrSnAu crystal, from Alexandria.

## Properties
The density comes out at 9.699 g cm⁻³. For the calculated formation energy, the calculation gives -0.4975 eV per atom. The calculation puts the spin magnetization at 0.000 μB per formula unit.

Cell: 5.129 5.129 5.129 Å, 60.00 60.00 60.00°
Fractional coordinates of all 4 atoms:
Zr 0.000 0.000 0.000
Sn 0.250 0.250 0.250
Sm 0.500 0.500 0.500
Au 0.750 0.750 0.750

No. 7
The following is a PBE calculation of a relaxed Y4CSe3 crystal, from Alexandria.

## Properties
The calculation puts the uncorrected formation energy at -1.50 eV/atom. The density comes out at 5.592 g cm⁻³. The calculation puts the spin magnetization at 0.000 μB per formula unit.

Cell: 3.910 6.963 6.963 Å, 108.72 90.00 90.00°
Fractional coordinates of all 8 atoms:
Y 0.000 0.789 0.789
Se 0.000 0.000 0.500
Se 0.000 0.500 0.000
Se 0.500 0.500 0.500
C 0.500 0.000 0.000
Y 0.500 0.777 0.223
Y 0.000 0.211 0.211
Y 0.500 0.223 0.777

No. 8
The following is a PBE calculation of a relaxed Th6TlAg crystal, from Alexandria.

## Properties
The density comes out at 11.554 g cm⁻³. For the calculated formation energy, the calculation gives 0.0127 eV per atom. The calculation puts the spin magnetization at 0.000 μB per formula unit.

Cell: 9.700 9.700 9.700 Å, 148.74 148.74 44.79°
Fractional coordinates of all 8 atoms:
Th 0.117 0.617 0.500
Th 0.883 0.383 0.500
Th 0.751 0.751 0.000
Th 0.617 0.117 0.500
Tl 0.500 0.500 0.000
Th 0.383 0.883 0.500
Th 0.249 0.249 0.000
Ag 0.000 0.000 0.000

No. 9
The following is a PBE calculation of a relaxed Tm3Hg crystal, from Alexandria.

## Properties
The density comes out at 10.613 g cm⁻³. For the calculated formation energy, the calculation gives -0.2241 eV per atom. The calculation puts the spin magnetization at 0.000 μB per formula unit.

Cell: 3.539 3.539 8.836 Å, 90.00 90.00 90.00°
Fractional coordinates of all 4 atoms:
Tm 0.000 0.000 0.500
Tm 0.500 0.500 0.775
Tm 0.500 0.500 0.225
Hg 0.000 0.000 0.000

No. 10
The following is a PBE calculation of a relaxed RbMoN2 crystal, from Alexandria.

## Properties
Its energy above the most stable polymorph in this dataset is 6.31 eV/f.u. The calculation puts the uncorrected formation energy at 1.17 eV/atom. The density comes out at 4.606 g cm⁻³. The calculation puts the spin magnetization at 1.500 μB per formula unit.

Cell: 8.117 8.117 8.117 Å, 23.64 23.64 23.64°
Site moments in Bohr magnetons follow the coordinates.
Fractional coordinates of all 4 atoms:
N 0.922 0.922 0.922  0.63
N 0.078 0.078 0.078  0.63
Mo 0.000 0.000 0.000  -0.25
Rb 0.500 0.500 0.500  0.02

no.,VASP energy (eV per atom)
1,-7.9309
2,-4.2120
3,-10.6731
4,-5.4040
5,-2.0327
6,-5.6343
7,-7.1869
8,-6.2043
9,-3.6532
10,-5.9454